(1)
VASP calculation (GGA-PBE) on an optimized crystal structure of Pr15Er4In.

It has space group P4/mmm (No. 123), with a = 5.139 Å, b = 5.139 Å, c = 25.871 Å, α = 90.00°, β = 90.00° and γ = 90.00°. Symmetry generates all atoms from Pr at (0.000, 0.000, 0.000), Pr at (0.000, 0.000, 0.198), Pr at (0.000, 0.000, 0.399), Pr at (0.000, 0.500, 0.097), Pr at (0.000, 0.500, 0.299), Pr at (0.000, 0.500, 0.500), Er at (0.500, 0.500, 0.198), Er at (0.500, 0.500, 0.400) and In at (0.500, 0.500, 0.000).

The calculated density comes out at 7.04 g cm⁻³. Its formation energy is -0.040 eV per atom.

---

(2)
VASP calculation (GGA-PBE) on an optimized crystal structure of AcHoAl2Si2.

It has space group P-3m1 (No. 164), with a = 4.2256 Å, b = 4.2256 Å, c = 8.6928 Å, α = 90.00°, β = 90.00° and γ = 120.00°. Symmetry generates all atoms from Ac at (0.0000, 0.0000, 0.0000), Ho at (0.0000, 0.0000, 0.5000), Al at (0.3333, 0.6667, 0.7354) and Si at (0.3333, 0.6667, 0.2818).

The calculated density comes out at 6.20 g cm⁻³. The uncorrected formation energy is -0.565 eV/atom.

---

(3)
VASP calculation (GGA-PBE) on an optimized crystal structure of Pr3Er4Th.

It has space group Immm (No. 71), with a = 3.436 Å, b = 11.686 Å, c = 13.213 Å, α = 90.00°, β = 90.00° and γ = 90.00°. Symmetry generates all atoms from Pr at (0.000, 0.000, 0.000), Pr at (0.000, 0.500, 0.232), Er at (0.000, 0.252, 0.367) and Th at (0.000, 0.000, 0.500).

For the offset from the most stable computed form, the calculation gives 9.6 kJ/mol of atoms. The calculated density comes out at 8.29 g cm⁻³. Its formation energy is 0.152 eV per atom.

---

(4)
VASP calculation (GGA-PBE) on an optimized crystal structure of Er2ThRh3.

It has space group P-3m1 (No. 164), with a = 4.9017 Å, b = 4.9017 Å, c = 5.9858 Å, α = 90.00°, β = 90.00° and γ = 120.00°. Symmetry generates all atoms from Er at (0.3333, 0.6667, 0.1546), Th at (0.0000, 0.0000, 0.5000), Rh at (0.0000, 0.0000, 0.0000) and Rh at (0.3333, 0.6667, 0.6566).

The calculated density comes out at 11.67 g cm⁻³. Its formation energy is -0.885 eV per atom.

---

(5)
VASP calculation (GGA-PBE) on an optimized crystal structure of ErTlZn4.

It has space group F-43m (No. 216), with a = 7.772 Å, b = 7.772 Å, c = 7.772 Å, α = 90.00°, β = 90.00° and γ = 90.00°. Symmetry generates all atoms from Er at (0.000, 0.000, 0.000), Tl at (0.250, 0.250, 0.750) and Zn at (0.126, 0.126, 0.374).

The calculated density comes out at 8.96 g cm⁻³. Its formation energy is -0.093 eV per atom.

---

(6)
VASP calculation (GGA-PBE) on an optimized crystal structure of FeNi2Pd4.

It has space group I-42d (No. 122), with a = 7.439 Å, b = 7.439 Å, c = 7.451 Å, α = 90.00°, β = 90.00° and γ = 90.00°. Symmetry generates all atoms from Fe at (0.000, 0.000, 0.000), Ni at (0.126, 0.750, 0.625) and Pd at (0.082, 0.670, 0.957).

For the offset from the most stable computed form, the calculation gives 6.6 kJ/mol of atoms. The calculated density comes out at 9.65 g cm⁻³. Its formation energy is 0.213 eV per atom.

---

(7)
VASP calculation (GGA-PBE) on an optimized crystal structure of CsRbTlAu2.

It has space group P3m1 (No. 156), with a = 4.9343 Å, b = 4.9343 Å, c = 10.3413 Å, α = 90.00°, β = 90.00° and γ = 120.00°. Symmetry generates all atoms from Cs at (0.0000, 0.0000, 0.0000), Rb at (0.6667, 0.3333, 0.4126), Tl at (0.3333, 0.6667, 0.6987), Au at (0.3333, 0.6667, 0.2233) and Au at (0.6667, 0.3333, 0.7506).

The calculated density comes out at 6.22 g cm⁻³. Its formation energy is -0.182 eV per atom.

---

(8)
VASP calculation (GGA-PBE) on an optimized crystal structure of MgMn2Cr.

It has space group Cmmm (No. 65), with a = 6.177 Å, b = 6.188 Å, c = 3.001 Å, α = 90.00°, β = 90.00° and γ = 90.00°. Symmetry generates all atoms from Mg at (0.000, 0.000, 0.000), Mn at (0.250, 0.250, 0.500) and Cr at (0.000, 0.500, 0.000).

The calculated density comes out at 5.39 g cm⁻³. Its formation energy is 0.270 eV per atom.

---

(9)
VASP calculation (GGA-PBE) on an optimized crystal structure of Cr2SiOs.

It has space group P4/mmm (No. 123), with a = 3.543 Å, b = 3.543 Å, c = 4.004 Å, α = 90.00°, β = 90.00° and γ = 90.00°. Symmetry generates all atoms from Cr at (0.000, 0.500, 0.000), Si at (0.000, 0.000, 0.500) and Os at (0.500, 0.500, 0.500).

The calculated density comes out at 10.65 g cm⁻³. The uncorrected formation energy is 0.000 eV/atom.

---

(10)
VASP calculation (GGA-PBE) on an optimized crystal structure of KSmBeSe3.

It has space group P2_1/m (No. 11), with a = 9.363 Å, b = 4.075 Å, c = 9.518 Å, α = 90.00°, β = 107.12° and γ = 90.00°. Symmetry generates all atoms from K at (0.196, 0.250, 0.229), Sm at (0.333, 0.750, 0.849), Be at (0.076, 0.250, 0.603), Se at (0.108, 0.250, 0.842), Se at (0.170, 0.750, 0.524) and Se at (0.452, 0.750, 0.167).

The calculated density comes out at 4.17 g cm⁻³. The uncorrected formation energy is -1.383 eV/atom.

---

(11)
VASP calculation (GGA-PBE) on an optimized crystal structure of Ba2LiSn.

It has space group C2/c (No. 15), with a = 12.232 Å, b = 5.067 Å, c = 10.957 Å, α = 90.00°, β = 116.61° and γ = 90.00°. Symmetry generates all atoms from Ba at (0.176, 0.001, 0.088), Li at (0.000, 0.001, 0.750) and Sn at (0.000, 0.499, 0.250).

The calculated density comes out at 4.38 g cm⁻³. Its formation energy is -0.259 eV per atom.

---

(12)
VASP calculation (GGA-PBE) on an optimized crystal structure of AlOsPb2.

It has space group Immm (No. 71), with a = 3.160 Å, b = 4.083 Å, c = 14.765 Å, α = 90.00°, β = 90.00° and γ = 90.00°. Symmetry generates all atoms from Al at (0.000, 0.000, 0.000), Os at (0.000, 0.000, 0.500) and Pb at (0.000, 0.500, 0.165).

The calculated density comes out at 11.01 g cm⁻³. Its formation energy is 0.227 eV per atom.